[1]
Rb2CdFeO4: optimized geometry, GGA+U.

Cell: 5.7112 6.9249 10.7936 Å, 83.74 74.66 65.65°
With the nearest neighbours (Å) after each atom.
Fractional coordinates of all 16 atoms:
1 Rb 0.1852 0.0000 0.6295  2 O 2.89
2 Rb 0.8148 0.0000 0.3705  2 O 2.89
3 Rb 0.5648 0.5000 0.8705  2 O 2.89
4 Rb 0.9352 0.5000 0.1295  2 O 2.89
5 Cd 0.7500 0.5000 0.5000  4 O 2.20
6 Cd 0.0000 0.0000 0.0000  4 O 2.20
7 Fe 0.2500 0.5000 0.5000  4 O 1.84
8 Fe 0.5000 0.0000 0.0000  4 O 1.84
9 O 0.3524 0.8104 0.0732  1 Fe 1.84
10 O 0.2360 0.1896 0.9268  1 Fe 1.84
11 O 0.8372 0.8104 0.9268  1 Fe 1.84
12 O 0.5744 0.1896 0.0732  1 Fe 1.84
13 O 0.3976 0.6896 0.4268  1 Fe 1.84
14 O 0.5140 0.3104 0.5732  1 Fe 1.84
15 O 0.9128 0.6896 0.5732  1 Fe 1.84
16 O 0.1756 0.3104 0.4268  1 Fe 1.84

Properties
- calculated total energy (eV/atom) = -4.63

[2]
Cd2FeReO6: optimized geometry, GGA+U.

Cell: 3.9259 5.5865 5.5865 Å, 90.00 90.00 90.00°
With the nearest neighbours (Å) after each atom.
Fractional coordinates of all 10 atoms:
1 Cd 0.1441 0.5000 0.0000  12 O 2.78-2.79
2 Cd 0.1441 0.0000 0.5000  12 O 2.78-2.79
3 Fe 0.6447 0.5000 0.5000  6 O 1.96-2.03
4 Re 0.6446 0.0000 0.0000  6 O 1.92-1.96
5 O 0.6449 0.2429 0.2429  1 Re 1.92, 1 Fe 2.03
6 O 0.6449 0.2429 0.7571  1 Re 1.92, 1 Fe 2.03
7 O 0.1448 0.5000 0.5000  2 Fe 1.96
8 O 0.1448 0.0000 0.0000  2 Re 1.96
9 O 0.6449 0.7571 0.7571  1 Re 1.92, 1 Fe 2.03
10 O 0.6449 0.7571 0.2429  1 Re 1.92, 1 Fe 2.03

Properties
- calculated total energy (eV/atom) = -6.05

[3]
CdFe2RhO: optimized geometry, GGA+U.

Cell: 3.9610 4.7781 3.9610 Å, 90.00 90.00 90.00°
With the nearest neighbours (Å) after each atom.
Fractional coordinates of all 5 atoms:
1 Rh 0.5000 0.5000 0.5000  4 Cd 2.80, 8 Fe 3.10
2 Fe 0.0000 0.0000 0.5000  2 O 1.98
3 Fe 0.5000 0.0000 0.0000  2 O 1.98
4 O 0.0000 0.0000 0.0000  4 Fe 1.98
5 Cd 0.0000 0.5000 0.0000  2 O 2.39

Properties
- calculated total energy (eV/atom) = -4.86

[4]
Cd2FeSbO6: optimized geometry, GGA+U.

Cell: 5.4563 5.5632 7.8604 Å, 90.00 89.76 90.00°
With the nearest neighbours (Å) after each atom.
Fractional coordinates of all 20 atoms:
1 Cd 0.0114 0.9569 0.2518  4 O 2.27-2.40
2 Cd 0.5114 0.5431 0.7518  4 O 2.27-2.40
3 Cd 0.9886 0.0431 0.7482  4 O 2.27-2.40
4 Cd 0.4886 0.4569 0.2482  4 O 2.27-2.40
5 Fe 0.5000 0.0000 0.0000  6 O 2.04-2.09
6 Fe 0.0000 0.5000 0.5000  6 O 2.04-2.09
7 Sb 0.5000 0.0000 0.5000  6 O 2.01-2.03
8 Sb 0.0000 0.5000 0.0000  6 O 2.01-2.03
9 O 0.2976 0.7018 0.0535  1 Sb 2.02, 1 Fe 2.04
10 O 0.7976 0.7982 0.5535  1 Sb 2.02, 1 Fe 2.04
11 O 0.7024 0.2982 0.9465  1 Sb 2.02, 1 Fe 2.04
12 O 0.2024 0.2018 0.4465  1 Sb 2.02, 1 Fe 2.04
13 O 0.3029 0.7047 0.4432  1 Sb 2.01, 1 Fe 2.05
14 O 0.8029 0.7953 0.9432  1 Sb 2.01, 1 Fe 2.05
15 O 0.6971 0.2953 0.5568  1 Sb 2.01, 1 Fe 2.05
16 O 0.1971 0.2047 0.0568  1 Sb 2.01, 1 Fe 2.05
17 O 0.8958 0.5408 0.2465  1 Sb 2.03, 1 Fe 2.09, 1 Cd 2.27
18 O 0.3958 0.9592 0.7465  1 Sb 2.03, 1 Fe 2.09, 1 Cd 2.27
19 O 0.1042 0.4592 0.7535  1 Sb 2.03, 1 Fe 2.09, 1 Cd 2.27
20 O 0.6042 0.0408 0.2535  1 Sb 2.03, 1 Fe 2.09, 1 Cd 2.27

Properties
- calculated total energy (eV/atom) = -5.44

[5]
CdFe2SbO6: optimized geometry, GGA+U.

Cell: 5.4324 5.4422 5.6708 Å, 61.58 61.61 59.86°
With the nearest neighbours (Å) after each atom.
Fractional coordinates of all 10 atoms:
1 Cd 0.7991 0.8008 0.5997  4 O 2.22-2.49
2 Fe 0.5226 0.5226 0.4320  6 O 2.01-2.16
3 Fe 0.0216 0.0207 0.9386  3 O 2.06-2.08
4 Sb 0.3160 0.3168 0.0497  6 O 2.01-2.05
5 O 0.5838 0.2544 0.2410  1 Sb 2.02, 1 Fe 2.02
6 O 0.2556 0.9215 0.2394  1 Sb 2.02, 1 Fe 2.02
7 O 0.9196 0.5801 0.2430  1 Sb 2.01, 1 Fe 2.01
8 O 0.3841 0.7046 0.7597  1 Sb 2.05, 2 Fe 2.06-2.16, 1 Cd 2.23
9 O 0.7047 0.1536 0.7575  1 Sb 2.05, 2 Fe 2.07-2.15, 1 Cd 2.23
10 O 0.1544 0.3865 0.7547  1 Sb 2.04, 2 Fe 2.08-2.15, 1 Cd 2.22

Properties
- calculated total energy (eV/atom) = -5.97

[6]
CdFeSnO4: optimized geometry, GGA+U.

Cell: 6.2919 6.4815 6.4815 Å, 60.07 60.96 60.96°
With the nearest neighbours (Å) after each atom.
Fractional coordinates of all 14 atoms:
1 Cd 0.6414 0.6086 0.1086  4 O 2.20-2.23
2 Cd 0.3586 0.3914 0.8914  4 O 2.20-2.23
3 Fe 0.5000 0.0000 0.5000  6 O 2.15-2.27
4 Fe 0.0000 0.0000 0.5000  6 O 2.15-2.27
5 Sn 0.0000 0.0000 0.0000  6 O 2.07-2.14
6 Sn 0.0000 0.5000 0.5000  6 O 2.07-2.14
7 O 0.7778 0.7494 0.6950  1 Sn 2.07, 2 Fe 2.15, 1 Cd 2.20
8 O 0.2222 0.8050 0.7506  1 Sn 2.07, 2 Fe 2.15, 1 Cd 2.20
9 O 0.7778 0.1950 0.2494  1 Sn 2.07, 2 Fe 2.15, 1 Cd 2.20
10 O 0.2222 0.2506 0.3050  1 Sn 2.07, 2 Fe 2.15, 1 Cd 2.20
11 O 0.2148 0.7569 0.2569  2 Sn 2.14, 1 Cd 2.23, 1 Fe 2.27
12 O 0.7715 0.7569 0.2569  2 Sn 2.14, 1 Cd 2.23, 1 Fe 2.27
13 O 0.2285 0.2431 0.7431  2 Sn 2.14, 1 Cd 2.23, 1 Fe 2.27
14 O 0.7852 0.2431 0.7431  2 Sn 2.14, 1 Cd 2.23, 1 Fe 2.27

Properties
- calculated total energy (eV/atom) = -5.78

[7]
CdFeSnO2: optimized geometry, GGA+U.

Cell: 3.9931 5.7035 3.9931 Å, 90.00 90.00 90.00°
With the nearest neighbours (Å) after each atom.
Fractional coordinates of all 5 atoms:
1 Fe 0.0000 0.0000 0.0000  4 O 2.00
2 Sn 0.0000 0.5000 0.0000  4 Cd 2.82, 2 Fe 2.85
3 O 0.0000 0.0000 0.5000  2 Fe 2.00
4 O 0.5000 0.0000 0.0000  2 Fe 2.00
5 Cd 0.5000 0.5000 0.5000  4 Sn 2.82

Properties
- calculated total energy (eV/atom) = -4.33

[8]
SrCdFeO4: optimized geometry, GGA+U.

Cell: 5.4561 5.4471 6.6855 Å, 90.00 114.08 90.00°
With the nearest neighbours (Å) after each atom.
Fractional coordinates of all 14 atoms:
1 Sr 0.1054 0.2500 0.2107  5 O 2.41-2.61
2 Sr 0.8946 0.7500 0.7893  5 O 2.41-2.61
3 Cd 0.6021 0.7500 0.2042  1 O 2.25
4 Cd 0.3979 0.2500 0.7958  1 O 2.25
5 Fe 0.2508 0.7500 0.5017  6 O 1.93-2.04
6 Fe 0.7492 0.2500 0.4983  6 O 1.93-2.04
7 O 0.9077 0.2500 0.8154  1 Fe 1.94
8 O 0.4177 0.7500 0.8353  1 Fe 2.04, 1 Cd 2.25
9 O 0.0923 0.7500 0.1846  1 Fe 1.94
10 O 0.5823 0.2500 0.1647  1 Fe 2.04, 1 Cd 2.25
11 O 0.5000 0.5000 0.5000  2 Fe 1.93
12 O 0.0000 0.0000 0.5000  2 Fe 1.93
13 O 0.5000 0.0000 0.5000  2 Fe 1.93
14 O 0.0000 0.5000 0.5000  2 Fe 1.93

Properties
- calculated total energy (eV/atom) = -5.55

[9]
SrCd2FeO4: optimized geometry, GGA+U.

Cell: 3.4184 6.0246 11.7720 Å, 90.00 90.00 106.48°
With the nearest neighbours (Å) after each atom.
Fractional coordinates of all 16 atoms:
1 Sr 0.1305 0.2610 0.7500  6 O 2.61-2.62
2 Sr 0.8695 0.7390 0.2500  6 O 2.61-2.62
3 Cd 0.3694 0.7387 0.5353  5 O 2.30-2.47
4 Cd 0.6306 0.2613 0.0353  5 O 2.30-2.47
5 Cd 0.6306 0.2613 0.4647  5 O 2.30-2.47
6 Cd 0.3694 0.7387 0.9647  5 O 2.30-2.47
7 Fe 0.8713 0.7426 0.7500  4 O 1.99-2.08
8 Fe 0.1287 0.2574 0.2500  4 O 1.99-2.08
9 O 0.2557 0.5114 0.1247  1 Fe 2.08, 1 Cd 2.30
10 O 0.7443 0.4886 0.6247  1 Fe 2.08, 1 Cd 2.30
11 O 0.7443 0.4886 0.8753  1 Fe 2.08, 1 Cd 2.30
12 O 0.2557 0.5114 0.3753  1 Fe 2.08, 1 Cd 2.30
13 O 0.0000 0.0000 0.5000  4 Cd 2.32
14 O 0.0000 0.0000 0.0000  4 Cd 2.32
15 O 0.4591 0.9183 0.7500  2 Fe 1.99
16 O 0.5409 0.0817 0.2500  2 Fe 1.99

Properties
- calculated total energy (eV/atom) = -5.08

[10]
Sr3Cd2FeO6: optimized geometry, GGA+U.

Cell: 6.1872 6.1872 5.8260 Å, 98.66 98.66 122.02°
With the nearest neighbours (Å) after each atom.
Fractional coordinates of all 12 atoms:
1 Sr 0.1668 0.8332 0.5000  6 O 2.47-2.56
2 Sr 0.8332 0.1668 0.5000  6 O 2.47-2.56
3 Sr 0.5000 0.5000 0.5000  6 O 2.51-2.63
4 Cd 0.3322 0.6678 0.0000  6 O 2.32-2.52
5 Cd 0.6678 0.3322 0.0000  6 O 2.32-2.52
6 Fe 0.0000 0.0000 0.0000  2 O 2.16
7 O 0.9119 0.5863 0.7646  2 Cd 2.32-2.49, 1 Fe 2.44, 3 Sr 2.47-2.56
8 O 0.7729 0.7729 0.2234  1 Fe 2.16
9 O 0.0881 0.4137 0.2354  2 Cd 2.32-2.49, 1 Fe 2.44, 3 Sr 2.47-2.56
10 O 0.5863 0.9119 0.7646  2 Cd 2.32-2.49, 1 Fe 2.44, 3 Sr 2.47-2.56
11 O 0.2271 0.2271 0.7766  1 Fe 2.16
12 O 0.4137 0.0881 0.2354  2 Cd 2.32-2.49, 1 Fe 2.44, 3 Sr 2.47-2.56

Properties
- calculated total energy (eV/atom) = -5.41

[11]
TaCd2FeO6: optimized geometry, GGA+U.

Cell: 5.3915 5.4956 7.7452 Å, 90.00 89.97 90.00°
With the nearest neighbours (Å) after each atom.
Fractional coordinates of all 20 atoms:
1 Ta 0.5000 0.0000 0.5000  6 O 2.00-2.02
2 Ta 0.0000 0.5000 0.0000  6 O 2.00-2.02
3 Cd 0.0103 0.9607 0.2499  4 O 2.27-2.44
4 Cd 0.5103 0.5393 0.7499  4 O 2.27-2.44
5 Cd 0.9897 0.0393 0.7501  4 O 2.27-2.44
6 Cd 0.4897 0.4607 0.2501  4 O 2.27-2.44
7 Fe 0.5000 0.0000 0.0000  6 O 1.97-2.00
8 Fe 0.0000 0.5000 0.5000  6 O 1.97-2.00
9 O 0.2981 0.7087 0.0471  1 Fe 1.97, 1 Ta 2.01
10 O 0.7981 0.7913 0.5471  1 Fe 1.97, 1 Ta 2.01
11 O 0.7019 0.2913 0.9529  1 Fe 1.97, 1 Ta 2.01
12 O 0.2019 0.2087 0.4529  1 Fe 1.97, 1 Ta 2.01
13 O 0.2946 0.7051 0.4481  1 Fe 1.99, 1 Ta 2.00
14 O 0.7946 0.7949 0.9481  1 Fe 1.99, 1 Ta 2.00
15 O 0.7054 0.2949 0.5519  1 Fe 1.99, 1 Ta 2.00
16 O 0.2054 0.2051 0.0519  1 Fe 1.99, 1 Ta 2.00
17 O 0.9051 0.5296 0.2513  1 Fe 2.00, 1 Ta 2.02
18 O 0.4051 0.9704 0.7513  1 Fe 2.00, 1 Ta 2.02
19 O 0.0949 0.4704 0.7487  1 Fe 2.00, 1 Ta 2.02
20 O 0.5949 0.0296 0.2487  1 Fe 2.00, 1 Ta 2.02

Properties
- calculated total energy (eV/atom) = -6.51

[12]
CdFe2TcO6: optimized geometry, GGA+U.

Cell: 5.3659 5.3223 5.6278 Å, 90.63 117.75 119.41°
With the nearest neighbours (Å) after each atom.
Fractional coordinates of all 10 atoms:
1 Cd 0.0349 0.5187 0.5280  3 O 2.20-2.21
2 Fe 0.5847 0.7926 0.3608  6 O 2.00-2.16
3 Fe 0.5869 0.2982 0.8763  4 O 2.02-2.20
4 Tc 0.9961 0.9975 0.9744  6 O 1.95-2.04
5 O 0.5436 0.9373 0.6942  2 Fe 2.02-2.16, 1 Tc 2.04, 1 Cd 2.21
6 O 0.4378 0.0517 0.1675  1 Tc 1.95, 1 Fe 2.00
7 O 0.7869 0.7276 0.1599  1 Tc 1.99, 2 Fe 2.02-2.20
8 O 0.1390 0.3911 0.1745  1 Tc 1.95, 1 Fe 2.00
9 O 0.7720 0.6082 0.6877  1 Tc 2.00, 2 Fe 2.06-2.16, 1 Cd 2.20
10 O 0.0837 0.1548 0.6792  1 Tc 2.01, 2 Fe 2.07-2.12, 1 Cd 2.21

Properties
- calculated total energy (eV/atom) = -6.51

no.,V (Å³ per atom)
1,23.440
2,12.252
3,14.993
4,11.930
5,12.119
6,13.549
7,18.188
8,12.957
9,14.530
10,14.977
11,11.474
12,11.777